1.
DFT (PBE-GGA) results for a relaxed structure of SbRu2Se.

Output
uncorrected formation energy	0.499	eV per atom
crystal system	orthorhombic
space-group type	No. 47
ΔE to the lowest computed polymorph	10.785	kcal/mol of atoms

a = 3.066 Å, b = 5.334 Å, c = 4.264 Å
α = 90.00°, β = 90.00°, γ = 90.00°
Atoms (fractional coordinates):
Se1 0.000 0.500 0.500
Ru1 0.000 0.000 0.000
Ru2 0.500 0.500 0.000
Sb1 0.500 0.000 0.500



2.
DFT (PBE-GGA) results for a relaxed structure of SbRuSe2.

Output
uncorrected formation energy	0.417	eV per atom
crystal system	tetragonal
space-group type	No. 123

a = 4.795 Å, b = 4.795 Å, c = 3.326 Å
α = 90.00°, β = 90.00°, γ = 90.00°
Atoms (fractional coordinates):
Sb1 0.000 0.500 0.500
Se1 0.500 0.500 0.000
Se2 0.000 0.000 0.000
Ru1 0.500 0.000 0.500



3.
DFT (PBE-GGA) results for a relaxed structure of SbRu2Se.

Output
uncorrected formation energy	0.227	eV per atom
crystal system	tetragonal
space-group type	No. 123
ΔE to the lowest computed polymorph	4.523	kcal/mol of atoms

a = 4.547 Å, b = 4.547 Å, c = 3.200 Å
α = 90.00°, β = 90.00°, γ = 90.01°
Atoms (fractional coordinates):
Sb1 0.500 0.000 0.500
Ru1 0.500 0.500 0.000
Ru2 0.000 0.000 0.000
Se1 0.000 0.500 0.500



4.
DFT (PBE-GGA) results for a relaxed structure of SbRu2Se.

Output
uncorrected formation energy	0.564	eV per atom
crystal system	orthorhombic
space-group type	No. 65
ΔE to the lowest computed polymorph	12.287	kcal/mol of atoms

a = 3.126 Å, b = 3.126 Å, c = 8.236 Å
α = 90.00°, β = 90.00°, γ = 118.31°
Atoms (fractional coordinates):
Ru1 0.000 0.000 0.500
Ru2 0.000 0.000 0.000
Sb1 0.500 0.500 0.250
Se1 0.500 0.500 0.750



5.
DFT (PBE-GGA) results for a relaxed structure of SbRuSe2.

Output
uncorrected formation energy	-0.056	eV per atom
crystal system	monoclinic
space-group type	No. 12

a = 3.774 Å, b = 3.774 Å, c = 8.857 Å
α = 102.86°, β = 102.86°, γ = 49.99°
Atoms (fractional coordinates):
Ru1 0.250 0.250 0.250
Sb1 0.750 0.750 0.750
Se1 0.604 0.604 0.413
Se2 0.896 0.896 0.087



6.
DFT (PBE-GGA) results for a relaxed structure of SbRuSe2.

Output
uncorrected formation energy	0.501	eV per atom
crystal system	tetragonal
space-group type	No. 119

a = 5.029 Å, b = 5.029 Å, c = 5.029 Å
α = 128.04°, β = 128.04°, γ = 76.55°
Atoms (fractional coordinates):
Ru1 0.500 0.500 0.000
Se1 0.250 0.750 0.500
Se2 0.000 0.000 0.000
Sb1 0.750 0.250 0.500



| no. | D(E_F) (states/eV/atom) |
| --- | --- |
| 1 | 1.33 |
| 2 | 0.65 |
| 3 | 1.11 |
| 4 | 1.29 |
| 5 | 0.76 |
| 6 | 0.85 |